{"formula": "Na2YTmSe4", "functional": "PBE", "state": "relaxed", "lattice_angstrom": [[7.1405, 0.0000, 0.0000], [0.0000, 4.1223, 0.0000], [-2.3773, 0.0000, 7.0048]], "species": ["Na", "Na", "Y", "Tm", "Se", "Se", "Se", "Se"], "frac_coords": [[0.0000, 0.0000, 0.0000], [0.5000, 0.5000, 0.0000], [0.0000, 0.5000, 0.5000], [0.5000, 0.0000, 0.5000], [0.2460, 0.0000, 0.7291], [0.2606, 0.5000, 0.2725], [0.7394, 0.5000, 0.7275], [0.7540, 0.0000, 0.2709]], "raw_formation_energy_ev_per_atom": -1.707, "total_energy_ev_per_fu": -41.171, "space_group": "No. 10"}


{"formula": "Na2Y3TmSe6", "functional": "PBE", "state": "relaxed", "lattice_angstrom": [[3.5492, -6.1391, 0.0000], [3.5492, 6.1391, 0.0000], [-2.3571, 0.0000, 6.7571]], "species": ["Na", "Na", "Y", "Y", "Y", "Tm", "Se", "Se", "Se", "Se", "Se", "Se"], "frac_coords": [[0.1657, 0.8343, 0.0000], [0.8343, 0.1657, 0.0000], [0.0000, 0.0000, 0.5000], [0.3301, 0.6699, 0.5000], [0.6699, 0.3301, 0.5000], [0.5000, 0.5000, 0.0000], [0.0903, 0.4167, 0.7499], [0.2593, 0.2593, 0.2542], [0.4167, 0.0903, 0.7499], [0.5833, 0.9097, 0.2501], [0.7407, 0.7407, 0.7458], [0.9097, 0.5833, 0.2501]], "raw_formation_energy_ev_per_atom": -1.716, "total_energy_ev_per_fu": -68.003, "space_group": "No. 12"}


{"formula": "NaYTm2Se4", "functional": "PBE", "state": "relaxed", "lattice_angstrom": [[7.0738, 0.0000, 0.0000], [0.0000, 4.0358, 0.0000], [-2.2922, 0.0000, 6.6991]], "species": ["Na", "Y", "Tm", "Tm", "Se", "Se", "Se", "Se"], "frac_coords": [[0.0000, 0.0000, 0.0000], [0.5000, 0.5000, 0.0000], [0.0000, 0.5000, 0.5000], [0.5000, 0.0000, 0.5000], [0.2471, 0.0000, 0.7444], [0.2545, 0.5000, 0.2589], [0.7455, 0.5000, 0.7411], [0.7529, 0.0000, 0.2556]], "raw_formation_energy_ev_per_atom": -1.704, "total_energy_ev_per_fu": -44.300, "space_group": "No. 10"}


{"formula": "NaY3Tm3Se8", "functional": "PBE", "state": "relaxed", "lattice_angstrom": [[4.0403, 2.3327, 6.6079], [-4.0403, 2.3327, 6.6079], [0.0000, -4.6653, 6.6079]], "species": ["Na", "Y", "Y", "Y", "Tm", "Tm", "Tm", "Se", "Se", "Se", "Se", "Se", "Se", "Se", "Se"], "frac_coords": [[0.0000, 0.0000, 0.0000], [0.0000, 0.0000, 0.5000], [0.0000, 0.5000, 0.0000], [0.5000, 0.0000, 0.0000], [0.0000, 0.5000, 0.5000], [0.5000, 0.0000, 0.5000], [0.5000, 0.5000, 0.0000], [0.2518, 0.2518, 0.2518], [0.2551, 0.2551, 0.7410], [0.2551, 0.7410, 0.2551], [0.2590, 0.7449, 0.7449], [0.7410, 0.2551, 0.2551], [0.7449, 0.2590, 0.7449], [0.7449, 0.7449, 0.2590], [0.7482, 0.7482, 0.7482]], "raw_formation_energy_ev_per_atom": -1.759, "total_energy_ev_per_fu": -88.383, "space_group": "No. 166"}